# 1
Below is Cs2AsHBr6 after structural relaxation, with properties calculated at the PBE level.

Lattice parameters (Å, degrees): 7.234 7.234 7.975 63.03 63.03 90.00
Positions (direct):
Cs  0.750  0.250  0.500
Cs  0.250  0.750  0.500
H  0.500  0.500  0.000
As  0.000  0.000  0.000
Br  0.216  0.216  0.568
Br  0.784  0.784  0.432
Br  0.263  0.263  0.000
Br  0.737  0.737  0.000
Br  0.737  0.263  0.000
Br  0.263  0.737  0.000

Results
Final energy, eV/atom: -2.71
V, Å³ per atom: 32.015


# 2
Below is RbBAsP2 after structural relaxation, with properties calculated at the PBE level.

Lattice parameters (Å, degrees): 5.463 5.660 5.463 90.00 90.00 90.00
Positions (direct):
P  0.000  0.000  0.500
P  0.500  0.000  0.000
As  0.000  0.500  0.000
B  0.500  0.500  0.500
Rb  0.000  0.000  0.000

Results
Final energy, eV/atom: -1.77
V, Å³ per atom: 33.785